## NdCoAu (PBE-GGA)

Data for a relaxed structure of NdCoAu.

```
12
Lattice="3.937 0.000 0.000 0.000 16.336 0.000 0.000 0.000 3.913" Properties=species:S:1:pos:R:3 pbc="T T T"
Nd 0.000 1.740 0.978
Nd 0.000 14.596 2.935
Nd 1.969 6.428 2.935
Nd 1.969 9.908 0.978
Co 0.000 7.633 0.978
Co 0.000 8.704 2.935
Co 1.969 0.535 2.935
Co 1.969 15.801 0.978
Au 0.000 4.905 0.978
Au 0.000 11.432 2.935
Au 1.969 3.264 2.935
Au 1.969 13.073 0.978
```

M_tot = 0.753 μB per formula unit
Calculated density = 10.56 g cm⁻³
Uncorrected energy = -5.439 eV per atom
Energy of formation from the pure elements = -1.167 eV per formula unit

## Cs3BaTe2O9 (PBE-GGA)

Data for a relaxed structure of Cs3BaTe2O9.

```
15
Lattice="6.292 0.000 0.000 -3.146 5.449 0.000 0.000 0.000 7.883" Properties=species:S:1:pos:R:3 pbc="T T T"
Cs 0.000 0.000 0.000
Cs 0.000 3.633 5.256
Cs 3.146 1.816 2.627
Ba 0.000 0.000 3.941
Te 0.000 3.633 1.229
Te 3.146 1.816 6.654
O -1.573 2.724 0.000
O 0.000 2.043 2.266
O -1.377 4.427 2.266
O 1.769 1.022 5.617
O 3.146 0.000 0.000
O 1.573 2.724 0.000
O 1.377 4.427 2.266
O 4.522 1.022 5.617
O 3.146 3.406 5.617
```

Energy relative to the elements, uncorrected = -1.32 eV per atom
M_tot = 1.323 μB per formula unit
Calculated density = 5.75 g cm⁻³
Uncorrected energy = -5.009 eV per atom

## MgSnO (PBE-GGA)

Data for a relaxed structure of MgSnO.

```
6
Lattice="3.021 0.000 0.000 1.465 5.765 0.000 0.027 2.521 6.361" Properties=species:S:1:pos:R:3 pbc="T T T"
Mg 0.000 0.000 0.000
Mg 1.503 5.533 5.924
Sn 1.518 1.454 2.736
Sn 3.005 4.207 3.283
O 1.506 1.289 0.546
O 3.012 6.846 6.041
```

Energy relative to the elements, uncorrected = -1.41 eV per atom
M_tot = 0.000 μB per formula unit
Excess energy over the best structure of this formula in the dataset = 0.0150 eV/atom
Calculated density = 4.77 g cm⁻³
Uncorrected energy = -4.927 eV per atom

## Li3LaTb2S6 (PBE-GGA)

Data for a relaxed structure of Li3LaTb2S6.

```
12
Lattice="3.471 -6.024 0.000 3.471 6.024 0.000 -2.283 0.000 6.186" Properties=species:S:1:pos:R:3 pbc="T T T"
Li 0.000 0.000 0.000
Li 3.471 2.108 0.000
Li 3.471 -2.108 0.000
La 2.330 0.000 3.093
Tb 2.330 4.022 3.093
Tb 2.330 -4.022 3.093
S 1.134 2.078 1.534
S -0.066 0.000 4.664
S 1.134 -2.078 1.534
S 3.525 2.078 4.653
S 4.725 0.000 1.522
S 3.525 -2.078 4.653
```

Energy relative to the elements, uncorrected = -1.84 eV per atom
M_tot = 0.000 μB per formula unit
Calculated density = 4.30 g cm⁻³
Uncorrected energy = -5.561 eV per atom

## ErTmAlAu (PBE-GGA)

Data for a relaxed structure of ErTmAlAu.

```
16
Lattice="7.171 0.000 0.000 0.000 7.171 0.000 0.000 0.000 7.171" Properties=species:S:1:pos:R:3 pbc="T T T"
Er 0.000 0.000 0.000
Er 0.000 3.586 3.586
Er 3.586 0.000 3.586
Er 3.586 3.586 0.000
Tm 0.000 0.000 3.586
Tm 0.000 3.586 0.000
Tm 3.586 0.000 0.000
Tm 3.586 3.586 3.586
Al 1.793 1.793 1.793
Al 1.793 5.379 5.379
Al 5.379 1.793 5.379
Al 5.379 5.379 1.793
Au 1.793 1.793 5.379
Au 1.793 5.379 1.793
Au 5.379 1.793 1.793
Au 5.379 5.379 5.379
```

M_tot = 0.000 μB per formula unit
Excess energy over the best structure of this formula in the dataset = 0.0463 eV/atom
Calculated density = 10.09 g cm⁻³
Uncorrected energy = -4.600 eV per atom
Energy of formation from the pure elements = -2.345 eV per formula unit

## SbP4Rh (PBE-GGA)

Data for a relaxed structure of SbP4Rh.

```
6
Lattice="0.000 3.695 3.695 3.695 0.000 3.695 3.695 3.695 0.000" Properties=species:S:1:pos:R:3 pbc="T T T"
Sb 0.000 0.000 0.000
P 4.544 2.847 2.847
P 2.847 4.544 2.847
P 2.847 2.847 4.544
P 4.544 4.544 4.544
Rh 1.848 1.848 1.848
```

Energy relative to the elements, uncorrected = 0.70 eV per atom
M_tot = 0.000 μB per formula unit
Calculated density = 5.73 g cm⁻³
Uncorrected energy = -4.815 eV per atom

## KBSbI2 (PBE-GGA)

Data for a relaxed structure of KBSbI2.

```
5
Lattice="6.519 0.000 0.000 0.000 6.519 0.000 0.000 0.000 6.639" Properties=species:S:1:pos:R:3 pbc="T T T"
K 0.000 0.000 0.000
B 3.260 3.260 3.320
Sb 0.000 0.000 3.320
I 0.000 3.260 0.000
I 3.260 0.000 0.000
```

Energy relative to the elements, uncorrected = 1.28 eV per atom
M_tot = 3.088 μB per formula unit
Excess energy over the best structure of this formula in the dataset = 1.0914 eV/atom
Calculated density = 2.50 g cm⁻³
Uncorrected energy = -1.718 eV per atom

## Dy4Zn2Cd (PBE-GGA)

Data for a relaxed structure of Dy4Zn2Cd.

```
7
Lattice="2.538 1.465 8.096 -2.538 1.465 8.096 0.000 -2.930 8.096" Properties=species:S:1:pos:R:3 pbc="T T T"
Dy 0.000 0.000 2.806
Dy 0.000 0.000 8.953
Dy 0.000 0.000 15.337
Dy 0.000 0.000 21.483
Zn 0.000 0.000 5.966
Zn 0.000 0.000 18.324
Cd 0.000 0.000 12.145
```

M_tot = 0.001 μB per formula unit
Excess energy over the best structure of this formula in the dataset = 0.0000 eV/atom
Calculated density = 8.21 g cm⁻³
Uncorrected energy = -3.301 eV per atom
Energy of formation from the pure elements = -1.233 eV per formula unit

## Nd3PuSn12 (PBE-GGA)

Data for a relaxed structure of Nd3PuSn12.

```
16
Lattice="4.744 0.000 0.000 0.000 4.744 0.000 0.000 0.000 18.985" Properties=species:S:1:pos:R:3 pbc="T T T"
Nd 0.000 0.000 0.000
Nd 0.000 0.000 4.826
Nd 0.000 0.000 14.158
Pu 0.000 0.000 9.492
Sn 0.000 2.372 2.408
Sn 0.000 2.372 7.206
Sn 0.000 2.372 11.778
Sn 0.000 2.372 16.577
Sn 2.372 0.000 2.408
Sn 2.372 0.000 7.206
Sn 2.372 0.000 11.778
Sn 2.372 0.000 16.577
Sn 2.372 2.372 0.000
Sn 2.372 2.372 4.805
Sn 2.372 2.372 9.492
Sn 2.372 2.372 14.179
```

M_tot = 5.465 μB per formula unit
Calculated density = 8.17 g cm⁻³
Uncorrected energy = -5.260 eV per atom
Energy of formation from the pure elements = -7.497 eV per formula unit

## ThSnPt (PBE-GGA)

Data for a relaxed structure of ThSnPt.

```
3
Lattice="4.690 0.000 0.000 -2.345 4.062 0.000 0.000 0.000 3.779" Properties=species:S:1:pos:R:3 pbc="T T T"
Th 0.000 0.000 0.000
Sn 0.000 2.708 1.889
Pt 2.345 1.354 1.889
```

M_tot = 0.000 μB per formula unit
Calculated density = 12.59 g cm⁻³
Uncorrected energy = -6.760 eV per atom
Energy of formation from the pure elements = -2.817 eV per formula unit

## TaCuNi2 (PBE-GGA)

Data for a relaxed structure of TaCuNi2.

```
8
Lattice="3.618 0.000 0.000 0.000 3.666 0.000 0.000 0.000 7.707" Properties=species:S:1:pos:R:3 pbc="T T T"
Ta 0.000 0.000 0.000
Ta 1.809 1.833 3.854
Cu 0.000 1.833 5.786
Cu 1.809 0.000 1.933
Ni 0.000 0.000 3.854
Ni 0.000 1.833 1.927
Ni 1.809 0.000 5.781
Ni 1.809 1.833 0.001
```

M_tot = 0.000 μB per formula unit
Calculated density = 11.76 g cm⁻³
Uncorrected energy = -7.034 eV per atom
Energy of formation from the pure elements = -0.625 eV per formula unit

## NpUMnS4 (PBE-GGA)

Data for a relaxed structure of NpUMnS4.

```
14
Lattice="6.349 0.000 0.000 0.000 5.806 0.000 -2.223 0.000 7.179" Properties=species:S:1:pos:R:3 pbc="T T T"
Np 1.441 1.451 0.477
Np 2.685 4.354 6.702
U 0.230 1.451 3.991
U 3.897 4.354 3.188
Mn 0.858 4.354 2.217
Mn 3.268 1.451 4.962
S -1.556 2.964 5.420
S -1.556 5.744 5.420
S 1.379 4.354 4.333
S 2.532 4.354 0.803
S 1.594 1.451 6.376
S 2.747 1.451 2.846
S 5.682 0.062 1.759
S 5.682 2.841 1.759
```

Energy relative to the elements, uncorrected = -1.10 eV per atom
M_tot = 0.322 μB per formula unit
Calculated density = 8.26 g cm⁻³
Uncorrected energy = -8.233 eV per atom

## NdNp2TcN4 (PBE-GGA)

Data for a relaxed structure of NdNp2TcN4.

```
16
Lattice="1.683 -5.887 0.000 1.683 5.887 0.000 0.000 0.000 11.567" Properties=species:S:1:pos:R:3 pbc="T T T"
Nd 1.683 4.591 8.675
Nd 1.683 -4.591 2.892
Np 1.683 1.540 6.361
Np 1.683 1.540 10.989
Np 1.683 -1.540 0.578
Np 1.683 -1.540 5.206
Tc 1.683 4.107 2.892
Tc 1.683 -4.107 8.675
N 0.000 0.000 0.000
N 0.000 0.000 5.784
N 1.683 2.730 1.333
N 1.683 2.730 4.451
N 1.683 0.524 8.675
N 1.683 -0.524 2.892
N 1.683 -2.730 7.116
N 1.683 -2.730 10.234
```

Energy relative to the elements, uncorrected = -0.93 eV per atom
M_tot = 5.473 μB per formula unit
Calculated density = 11.19 g cm⁻³
Uncorrected energy = -10.217 eV per atom

## LaCd2Ir (PBE-GGA)

Data for a relaxed structure of LaCd2Ir.

```
8
Lattice="4.298 0.000 0.000 0.000 4.298 0.000 0.000 0.000 9.801" Properties=species:S:1:pos:R:3 pbc="T T T"
La 0.000 0.000 0.000
La 2.149 2.149 4.901
Cd 0.000 2.149 2.450
Cd 0.000 2.149 7.351
Cd 2.149 0.000 2.450
Cd 2.149 0.000 7.351
Ir 0.000 0.000 4.901
Ir 2.149 2.149 0.000
```

M_tot = 0.000 μB per formula unit
Calculated density = 10.20 g cm⁻³
Uncorrected energy = -4.119 eV per atom
Energy of formation from the pure elements = -0.856 eV per formula unit

## VSiTc (PBE-GGA)

Data for a relaxed structure of VSiTc.

```
6
Lattice="4.489 0.000 0.000 2.206 4.049 0.000 0.712 2.153 4.460" Properties=species:S:1:pos:R:3 pbc="T T T"
V 1.512 2.484 1.171
V 5.896 3.718 3.289
Si 3.616 5.098 3.449
Si 3.792 1.104 1.012
Tc 3.755 3.927 1.189
Tc 3.653 2.274 3.271
```

Energy relative to the elements, uncorrected = -0.38 eV per atom
M_tot = 0.000 μB per formula unit
Excess energy over the best structure of this formula in the dataset = 0.1401 eV/atom
Calculated density = 7.25 g cm⁻³
Uncorrected energy = -8.682 eV per atom

## ScTcHg3 (PBE-GGA)

Data for a relaxed structure of ScTcHg3.

```
5
Lattice="5.154 0.000 0.000 0.000 5.154 0.000 0.000 0.000 5.154" Properties=species:S:1:pos:R:3 pbc="T T T"
Sc 0.000 0.000 0.000
Tc 2.577 2.577 2.577
Hg 0.000 2.577 2.577
Hg 2.577 0.000 2.577
Hg 2.577 2.577 0.000
```

M_tot = 0.001 μB per formula unit
Excess energy over the best structure of this formula in the dataset = 0.0000 eV/atom
Calculated density = 9.03 g cm⁻³
Uncorrected energy = -2.774 eV per atom
Energy of formation from the pure elements = 3.731 eV per formula unit

## ReW3 (PBE-GGA)

Data for a relaxed structure of ReW3.

```
8
Lattice="3.901 0.000 0.000 0.000 3.901 0.000 0.000 0.000 8.456" Properties=species:S:1:pos:R:3 pbc="T T T"
Re 0.000 0.000 0.000
Re 1.951 1.951 4.228
W 0.000 0.000 4.228
W 0.000 1.951 2.114
W 0.000 1.951 6.342
W 1.951 0.000 2.114
W 1.951 0.000 6.342
W 1.951 1.951 0.000
```

M_tot = 0.000 μB per formula unit
Excess energy over the best structure of this formula in the dataset = 0.3123 eV/atom
Calculated density = 19.04 g cm⁻³
Uncorrected energy = -12.496 eV per atom
Energy of formation from the pure elements = 1.323 eV per formula unit

## GdPuPa (PBE-GGA)

Data for a relaxed structure of GdPuPa.

```
6
Lattice="3.401 0.000 0.000 0.000 3.401 0.000 0.000 0.000 14.001" Properties=species:S:1:pos:R:3 pbc="T T T"
Gd 0.000 0.000 0.000
Gd 1.700 1.700 7.001
Pu 0.000 0.000 9.681
Pu 1.700 1.700 2.680
Pa 0.000 0.000 4.653
Pa 1.700 1.700 11.654
```

M_tot = 12.821 μB per formula unit
Excess energy over the best structure of this formula in the dataset = 0.0000 eV/atom
Calculated density = 12.97 g cm⁻³
Uncorrected energy = -12.491 eV per atom
Energy of formation from the pure elements = 0.437 eV per formula unit

## Rb2PbF8 (PBE-GGA)

Data for a relaxed structure of Rb2PbF8.

```
11
Lattice="6.074 -4.185 0.000 6.074 4.185 0.000 -2.129 0.000 4.808" Properties=species:S:1:pos:R:3 pbc="T T T"
Rb 1.552 0.000 1.516
Rb 8.467 0.000 3.293
Pb 6.074 0.000 0.000
F -0.744 0.000 3.304
F 2.852 1.440 3.766
F 4.441 0.000 1.427
F 7.167 1.440 1.042
F 2.852 -1.440 3.766
F 5.578 0.000 3.381
F 7.167 -1.440 1.042
F 10.763 0.000 1.505
```

Energy relative to the elements, uncorrected = -1.90 eV per atom
M_tot = 2.008 μB per formula unit
Calculated density = 3.60 g cm⁻³
Uncorrected energy = -3.777 eV per atom

## Rb3TiSi (PBE-GGA)

Data for a relaxed structure of Rb3TiSi.

```
5
Lattice="6.858 0.000 0.000 0.000 6.858 0.000 0.000 0.000 6.858" Properties=species:S:1:pos:R:3 pbc="T T T"
Rb 0.000 0.000 3.429
Rb 0.000 3.429 0.000
Rb 3.429 0.000 0.000
Ti 0.000 0.000 0.000
Si 3.429 3.429 3.429
```

Energy relative to the elements, uncorrected = 1.35 eV per atom
M_tot = 1.000 μB per formula unit
Calculated density = 1.71 g cm⁻³
Uncorrected energy = -1.892 eV per atom